(1)
Density functional theory data (GGA-PBE) for Tb4Pr2NdEr after structural relaxation.

DFT total energy (eV for the cell shown): -37.26
ΔH_f (0 K) (eV/atom): 0.019
Theoretical density (Mg/m³): 7.7
Space-group type: P2/m, No. 10

Lattice parameters (Å, degrees): 5.119 5.099 11.379 63.34 90.00 90.00
Fractional positions:
Nd  0.500  0.500  0.000
Tb  0.000  0.753  0.747
Tb  0.000  0.247  0.253
Tb  0.500  0.252  0.748
Tb  0.500  0.748  0.252
Pr  0.000  0.000  0.000
Pr  0.500  0.000  0.500
Er  0.000  0.500  0.500

---

(2)
Density functional theory data (GGA-PBE) for TbNd15Tm4 after structural relaxation.

DFT total energy (eV for the cell shown): -93.83
ΔH_f (0 K) (eV/atom): 0.010
Theoretical density (Mg/m³): 7.3
Space-group type: P4/mmm, No. 123

Lattice parameters (Å, degrees): 5.148 5.148 25.615 90.00 90.00 90.00
Fractional positions:
Nd  0.000  0.500  0.899
Nd  0.500  0.000  0.500
Nd  0.500  0.500  0.201
Nd  0.500  0.500  0.799
Nd  0.000  0.500  0.500
Nd  0.500  0.000  0.101
Nd  0.000  0.500  0.300
Nd  0.500  0.000  0.700
Nd  0.000  0.500  0.700
Nd  0.500  0.500  0.400
Nd  0.500  0.500  0.600
Nd  0.500  0.500  0.000
Nd  0.500  0.000  0.899
Nd  0.500  0.000  0.300
Nd  0.000  0.500  0.101
Tm  0.000  0.000  0.201
Tm  0.000  0.000  0.600
Tm  0.000  0.000  0.400
Tm  0.000  0.000  0.799
Tb  0.000  0.000  0.000

---

(3)
Density functional theory data (GGA-PBE) for YTc4 after structural relaxation.

DFT total energy (eV for the cell shown): -37.47
ΔH_f (0 K) (eV/atom): 2.092
Theoretical density (Mg/m³): 8.0
Space-group type: Im-3m, No. 229

Lattice parameters (Å, degrees): 5.069 5.069 5.069 109.47 109.47 109.47
Fractional positions:
Y  0.000  0.000  0.000
Tc  0.000  0.000  0.500
Tc  0.500  0.500  0.500
Tc  0.500  0.000  0.000
Tc  0.000  0.500  0.000

---

(4)
Density functional theory data (GGA-PBE) for TaMn2In after structural relaxation.

DFT total energy (eV for the cell shown): -31.32
ΔH_f (0 K) (eV/atom): 0.404
Theoretical density (Mg/m³): 9.9
Space-group type: R3m, No. 160

Lattice parameters (Å, degrees): 9.341 9.341 9.341 17.98 17.98 17.98
Site moments in Bohr magnetons follow the coordinates.
Fractional positions:
Ta  0.506  0.506  0.506  -0.13
In  0.746  0.746  0.746  -0.05
Mn  0.253  0.253  0.253  2.76
Mn  0.994  0.994  0.994  3.17

---

(5)
Density functional theory data (GGA-PBE) for Pa4SiRh12 after structural relaxation.

DFT total energy (eV for the cell shown): -146.90
Uncorrected formation energy (eV/atom): -0.899
Theoretical density (Mg/m³): 12.8
Space-group type: Im-3m, No. 229

Lattice parameters (Å, degrees): 7.171 7.171 7.171 109.47 109.47 109.47
Fractional positions:
Pa  0.000  0.500  0.000
Pa  0.500  0.500  0.500
Pa  0.500  0.000  0.000
Pa  0.000  0.000  0.500
Rh  0.276  0.000  0.276
Rh  0.500  0.750  0.250
Rh  0.724  0.000  0.724
Rh  0.250  0.500  0.750
Rh  0.000  0.276  0.276
Rh  0.250  0.750  0.500
Rh  0.724  0.724  0.000
Rh  0.750  0.250  0.500
Rh  0.000  0.724  0.724
Rh  0.276  0.276  0.000
Rh  0.750  0.500  0.250
Rh  0.500  0.250  0.750
Si  0.000  0.000  0.000

---

(6)
Density functional theory data (GGA-PBE) for LaNdAu2 after structural relaxation.

DFT total energy (eV for the cell shown): -18.94
ΔH_f (0 K) (eV/atom): -0.674
Theoretical density (Mg/m³): 9.5
Space-group type: R3m, No. 160

Lattice parameters (Å, degrees): 4.238 4.238 8.018 74.68 74.68 60.00
Fractional positions:
Au  0.251  0.251  0.246
Au  0.082  0.082  0.754
La  0.498  0.498  0.506
Nd  0.669  0.669  0.994

---

(7)
Density functional theory data (GGA-PBE) for LaTb3Sc after structural relaxation.

DFT total energy (eV for the cell shown): -49.90
ΔH_f (0 K) (eV/atom): 0.039
Theoretical density (Mg/m³): 6.9
Space-group type: P-1, No. 2

Lattice parameters (Å, degrees): 6.689 9.517 8.408 118.91 102.68 120.57
Fractional positions:
La  0.576  0.020  0.820
La  0.424  0.980  0.180
Tb  0.946  0.608  0.208
Tb  0.366  0.218  0.622
Tb  0.168  0.410  0.413
Tb  0.634  0.782  0.378
Tb  0.054  0.392  0.792
Tb  0.832  0.590  0.587
Sc  0.229  0.181  0.984
Sc  0.771  0.819  0.016

---

(8)
Density functional theory data (GGA-PBE) for TmPHRh after structural relaxation.

DFT total energy (eV for the cell shown): -48.97
Theoretical density (Mg/m³): 9.4
Space-group type: P4/nmm, No. 129

Lattice parameters (Å, degrees): 3.896 3.896 7.080 90.00 90.00 90.00
Fractional positions:
P  0.500  0.000  0.202
P  0.000  0.500  0.798
Tm  0.000  0.500  0.345
Tm  0.500  0.000  0.655
Rh  0.500  0.500  0.000
Rh  0.000  0.000  0.000
H  0.500  0.500  0.500
H  0.000  0.000  0.500